1.
Here is an optimized crystal structure of DyMgNi17 from Alexandria via LeMat-Bulk. Energies are from PBE.

Energy of formation from the pure elements = -1.75 eV per formula unit
DOS at the Fermi energy = 27.61 states/eV/f.u.

a = 8.2263 Å, b = 8.2263 Å, c = 12.0214 Å
α = 90.00°, β = 90.00°, γ = 120.00°
With the nearest neighbours (Å) after each atom.
Space group R3m (No. 160, hexagonal axes)
Unique sites:
Dy: 0.0000 0.0000 0.0000 [3 per cell]  19 Ni 2.92-3.15
Mg: 0.0000 0.0000 0.3191 [3 per cell]  19 Ni 2.87-3.19
Ni: 0.0000 0.0000 0.5580 [3 per cell]  7 Ni 2.39-2.53
Ni: 0.0000 0.0000 0.7570 [3 per cell]  7 Ni 2.39-2.61
Ni: 0.0382 0.3703 0.3259 [18 per cell]  8 Ni 2.36-2.51
Ni: 0.1680 0.3360 0.4929 [9 per cell]  10 Ni 2.36-2.52
Ni: 0.1688 0.3376 0.1453 [9 per cell]  9 Ni 2.38-2.53
Ni: 0.1694 0.3388 0.8394 [9 per cell]  9 Ni 2.39-2.61

***

2.
Here is an optimized crystal structure of DyMg11Ni from Alexandria via LeMat-Bulk. Energies are from PBE.

Energy of formation from the pure elements = -0.44 eV per formula unit
DOS at the Fermi energy = 6.69 states/eV/f.u.

a = 5.6003 Å, b = 14.3565 Å, c = 7.5924 Å
α = 90.00°, β = 110.38°, γ = 90.00°
With the nearest neighbours (Å) after each atom.
Space group C2/m (No. 12)
Unique sites:
Dy: 0.0000 0.0000 0.0000 [2 per cell]  18 Mg 3.47-3.85, 2 Ni 3.85
Mg: 0.0000 0.0000 0.5000 [2 per cell]  2 Ni 2.80, 8 Mg 2.91-2.97
Mg: 0.0935 0.3990 0.2193 [8 per cell]  1 Ni 2.77, 5 Mg 2.90-3.02
Mg: 0.1903 0.1675 0.3611 [8 per cell]  1 Ni 2.94, 7 Mg 2.97-3.28
Mg: 0.2500 0.2500 0.0000 [4 per cell]  8 Mg 2.80-3.11
Ni: 0.0000 0.5000 0.5000 [2 per cell]  10 Mg 2.77-2.94

***

3.
Here is an optimized crystal structure of DyMg3Ni from Alexandria via LeMat-Bulk. Energies are from PBE.

Energy of formation from the pure elements = -0.90 eV per formula unit
DOS at the Fermi energy = 2.30 states/eV/f.u.

a = 5.3010 Å, b = 5.7802 Å, c = 7.2598 Å
α = 90.00°, β = 106.34°, γ = 90.00°
With the nearest neighbours (Å) after each atom.
Space group P2_1/m (No. 11)
Unique sites:
Dy: 0.1098 0.2500 0.4032 [2 per cell]  2 Ni 2.75-2.85
Mg: 0.0178 0.2500 0.8945 [2 per cell]  1 Ni 2.74, 2 Mg 3.07
Mg: 0.4863 0.5015 0.7903 [4 per cell]  2 Ni 2.68-2.75, 2 Mg 2.87-2.91
Ni: 0.3298 0.7500 0.4661 [2 per cell]  5 Mg 2.68-2.75, 2 Dy 2.75-2.85

***

4.
Here is an optimized crystal structure of Dy2MgNi2 from Alexandria via LeMat-Bulk. Energies are from PBE.

Energy of formation from the pure elements = -1.92 eV per formula unit
DOS at the Fermi energy = 3.57 states/eV/f.u.

a = 3.9990 Å, b = 14.3828 Å, c = 3.6281 Å
α = 90.00°, β = 90.00°, γ = 90.00°
With the nearest neighbours (Å) after each atom.
Space group Cmmm (No. 65)
Unique sites:
Dy: 0.0000 0.1425 0.0000 [4 per cell]  6 Ni 2.82-2.92
Mg: 0.0000 0.5000 0.5000 [2 per cell]  2 Ni 2.86
Ni: 0.0000 0.3011 0.5000 [4 per cell]  2 Ni 2.48